Entry 1:
DFT (PBE) results for crystalline Dy2InSn at its relaxed geometry.

Lattice parameters (Å, degrees): 4.307 6.144 6.144 43.47 90.00 90.00
Fractional positions:
Dy1 0.000 0.000 0.000
Dy2 0.500 0.272 0.272
In1 0.000 0.726 0.726
Sn1 0.500 0.549 0.549

Results
Calculated density, g/cm3: 8.3
Formation energy, meV/atom: -601.9
Space-group type: Amm2, No. 38



Entry 2:
DFT (PBE) results for crystalline Dy3InSn at its relaxed geometry.

Lattice parameters (Å, degrees): 8.610 8.610 11.092 101.39 101.39 44.00
Fractional positions:
Dy1 0.158 0.731 0.524
Dy2 0.163 0.543 0.038
Dy3 0.187 0.214 0.237
Dy4 0.214 0.187 0.737
Dy5 0.269 0.842 0.976
Dy6 0.457 0.837 0.462
Dy7 0.543 0.163 0.538
Dy8 0.731 0.158 0.024
Dy9 0.786 0.813 0.263
Dy10 0.813 0.786 0.763
Dy11 0.837 0.457 0.962
Dy12 0.842 0.269 0.476
In1 0.381 0.448 0.794
In2 0.448 0.381 0.294
In3 0.552 0.619 0.706
In4 0.619 0.552 0.206
Sn1 0.000 0.500 0.500
Sn2 0.090 0.910 0.250
Sn3 0.500 0.000 0.000
Sn4 0.910 0.090 0.750

Results
Calculated density, g/cm3: 8.6
Formation energy, meV/atom: -451.5
Space-group type: C2/c, No. 15



Entry 3:
DFT (PBE) results for crystalline TbDyInSn at its relaxed geometry.

Lattice parameters (Å, degrees): 5.341 5.341 5.341 60.00 60.00 60.00
Fractional positions:
Tb1 0.000 0.000 0.000
Dy1 0.500 0.500 0.500
In1 0.750 0.750 0.750
Sn1 0.250 0.250 0.250

Results
Calculated density, g/cm3: 8.6
Formation energy, meV/atom: -507.6
Space-group type: F-43m, No. 216



Entry 4:
DFT (PBE) results for crystalline Dy2In3SnTe6 at its relaxed geometry.

Lattice parameters (Å, degrees): 10.342 10.342 9.330 105.62 105.62 24.70
Fractional positions:
Dy1 0.168 0.168 0.336
Dy2 0.832 0.832 0.664
In1 0.166 0.166 0.836
In2 0.500 0.500 0.500
In3 0.834 0.834 0.164
Sn1 0.500 0.500 0.000
Te1 0.009 0.009 0.253
Te2 0.329 0.329 0.430
Te3 0.335 0.335 0.897
Te4 0.665 0.665 0.103
Te5 0.671 0.671 0.570
Te6 0.991 0.991 0.747

Results
Calculated density, g/cm3: 6.4
Space-group type: C2/m, No. 12
Electronic total energy, eV/atom: -4.083



Entry 5:
DFT (PBE) results for crystalline DyThInSn at its relaxed geometry.

Lattice parameters (Å, degrees): 5.418 5.418 5.418 60.00 60.00 60.00
Fractional positions:
Dy1 0.000 0.000 0.000
Th1 0.500 0.500 0.500
In1 0.750 0.750 0.750
Sn1 0.250 0.250 0.250

Results
Calculated density, g/cm3: 9.3
Formation energy, meV/atom: -386.2
Space-group type: F-43m, No. 216



Entry 6:
DFT (PBE) results for crystalline DyYInSn at its relaxed geometry.

Lattice parameters (Å, degrees): 5.337 5.337 5.337 60.00 60.00 60.00
Fractional positions:
Dy1 0.000 0.000 0.000
Y1 0.500 0.500 0.500
In1 0.750 0.750 0.750
Sn1 0.250 0.250 0.250

Results
Calculated density, g/cm3: 7.5
Formation energy, meV/atom: -514.4
Space-group type: F-43m, No. 216



Entry 7:
DFT (PBE) results for crystalline DyZnInSn at its relaxed geometry.

Lattice parameters (Å, degrees): 4.463 4.481 4.630 90.00 90.00 90.00
Fractional positions:
Dy1 0.000 0.000 0.000
Zn1 0.500 0.000 0.500
In1 0.000 0.500 0.500
Sn1 0.500 0.500 0.000

Results
Calculated density, g/cm3: 8.3
Formation energy, meV/atom: -408.3
Space-group type: Pmmm, No. 47



Entry 8:
DFT (PBE) results for crystalline SrDy3In4 at its relaxed geometry.

Lattice parameters (Å, degrees): 10.854 7.606 5.430 90.00 90.00 90.00
Fractional positions:
Sr1 0.000 0.000 0.000
Sr2 0.500 0.000 0.000
Dy1 0.000 0.500 0.000
Dy2 0.250 0.000 0.497
Dy3 0.250 0.500 0.496
Dy4 0.500 0.500 0.000
Dy5 0.750 0.000 0.503
Dy6 0.750 0.500 0.504
In1 0.000 0.261 0.500
In2 0.000 0.739 0.500
In3 0.250 0.261 0.995
In4 0.250 0.739 0.995
In5 0.500 0.261 0.500
In6 0.500 0.739 0.500
In7 0.750 0.261 0.005
In8 0.750 0.739 0.005

Results
Calculated density, g/cm3: 7.7
Formation energy, meV/atom: -421.8
Space-group type: Pmma, No. 51



Entry 9:
DFT (PBE) results for crystalline SrDy5In6 at its relaxed geometry.

Lattice parameters (Å, degrees): 9.336 9.336 9.336 146.36 132.44 59.51
Fractional positions:
Sr1 0.000 0.000 0.000
Dy1 0.161 0.661 0.500
Dy2 0.331 0.331 0.000
Dy3 0.500 0.000 0.500
Dy4 0.669 0.669 0.000
Dy5 0.839 0.339 0.500
In1 0.087 0.829 0.258
In2 0.267 0.500 0.767
In3 0.429 0.171 0.258
In4 0.571 0.829 0.742
In5 0.733 0.500 0.233
In6 0.913 0.171 0.742

Results
Calculated density, g/cm3: 8.0
Formation energy, meV/atom: -436.9
Space-group type: Immm, No. 71



Entry 10:
DFT (PBE) results for crystalline SrDy2In at its relaxed geometry.

Lattice parameters (Å, degrees): 12.143 12.143 12.143 17.43 17.43 17.43
Fractional positions:
Sr1 0.000 0.000 0.000
Dy1 0.100 0.100 0.100
Dy2 0.900 0.900 0.900
In1 0.500 0.500 0.500

Results
Calculated density, g/cm3: 6.2
Offset from the most stable computed form, meV/atom: 189.3
Formation energy, meV/atom: 85.5
Space-group type: R-3m, No. 166



Entry 11:
DFT (PBE) results for crystalline Sr4DyIn5 at its relaxed geometry.

Lattice parameters (Å, degrees): 3.992 3.992 20.169 90.00 90.00 90.00
Fractional positions:
Sr1 0.000 0.000 0.103
Sr2 0.000 0.000 0.308
Sr3 0.000 0.000 0.692
Sr4 0.000 0.000 0.897
Dy1 0.000 0.000 0.500
In1 0.500 0.500 0.000
In2 0.500 0.500 0.205
In3 0.500 0.500 0.415
In4 0.500 0.500 0.585
In5 0.500 0.500 0.795

Results
Calculated density, g/cm3: 5.6
Formation energy, meV/atom: -428.9
Space-group type: P4/mmm, No. 123



Entry 12:
DFT (PBE) results for crystalline Sr2DyIn3 at its relaxed geometry.

Lattice parameters (Å, degrees): 8.849 8.849 7.943 90.00 90.00 143.10
Fractional positions:
Sr1 0.000 0.000 0.000
Sr2 0.000 0.000 0.500
Sr3 0.337 0.663 0.000
Sr4 0.663 0.337 0.000
Dy1 0.336 0.664 0.500
Dy2 0.664 0.336 0.500
In1 0.174 0.826 0.272
In2 0.174 0.826 0.728
In3 0.500 0.500 0.269
In4 0.500 0.500 0.731
In5 0.826 0.174 0.272
In6 0.826 0.174 0.728

Results
Calculated density, g/cm3: 6.1
Formation energy, meV/atom: -423.3
Space-group type: Cmmm, No. 65



What did the fourth record say?
DFT (PBE) results for crystalline Dy2In3SnTe6 at its relaxed geometry.

Lattice parameters (Å, degrees): 10.342 10.342 9.330 105.62 105.62 24.70
Fractional positions:
Dy1 0.168 0.168 0.336
Dy2 0.832 0.832 0.664
In1 0.166 0.166 0.836
In2 0.500 0.500 0.500
In3 0.834 0.834 0.164
Sn1 0.500 0.500 0.000
Te1 0.009 0.009 0.253
Te2 0.329 0.329 0.430
Te3 0.335 0.335 0.897
Te4 0.665 0.665 0.103
Te5 0.671 0.671 0.570
Te6 0.991 0.991 0.747

Results
Calculated density, g/cm3: 6.4
Space-group type: C2/m, No. 12
Electronic total energy, eV/atom: -4.083